(1)
Material: La2PdW
Method: DFT, PBEsol
State: optimized geometry

Cell: 5.052 5.052 5.052 Å, 60.00 60.00 60.00°
Element x y z (fractional)
Pd 0.000 0.000 0.000
W 0.500 0.500 0.500
La 0.250 0.250 0.250
La 0.750 0.750 0.750

Calculated values
* theoretical density: 10.3 g/cm3
* DFT formation energy: 0.2741 eV per atom
* symmetry: Fm-3m

***

(2)
Material: LaY2Pd2
Method: DFT, PBEsol
State: optimized geometry

Cell: 3.910 7.811 7.811 Å, 90.00 90.00 90.00°
Element x y z (fractional)
Y 0.500 0.162 0.662
Y 0.500 0.662 0.838
Y 0.500 0.838 0.338
Y 0.500 0.338 0.162
Pd 0.000 0.371 0.871
Pd 0.000 0.871 0.629
Pd 0.000 0.629 0.129
Pd 0.000 0.129 0.371
La 0.000 0.000 0.000
La 0.000 0.500 0.500

Calculated values
* theoretical density: 7.4 g/cm3
* DFT formation energy: -0.6423 eV per atom
* symmetry: P4/mbm